Material: CsNa5Fe2O6
Method: DFT, PBE with a Hubbard U
State: relaxed

Computed properties:
space-group type	Fdd2
energy	-4.9207	eV/atom
total magnetization	40.0	μB/cell

Geometry as POSCAR:
```
CsNa5Fe2O6
1.0
12.116 -0.013 0.015
8.508 8.583 0.008
3.609 1.436 8.476
Na O Fe Cs
20 24 8 4
Direct
0.627 0.553 0.156
0.250 0.759 0.266
0.982 0.493 0.496
0.495 0.495 0.505
0.255 0.255 0.245
0.553 0.627 0.665
0.585 0.094 0.697
0.737 0.736 0.263
0.987 0.987 0.513
0.526 0.983 0.491
0.754 0.221 0.268
0.759 0.250 0.724
0.005 0.005 0.995
0.095 0.585 0.623
0.984 0.526 0.000
0.506 0.506 0.994
0.221 0.754 0.757
0.493 0.982 0.029
0.256 0.256 0.744
0.745 0.745 0.755
0.457 0.476 0.268
0.817 0.768 0.425
0.865 0.865 0.635
0.833 0.407 0.631
0.626 0.626 0.874
0.768 0.817 0.990
0.927 0.978 0.820
0.358 0.254 0.970
0.978 0.927 0.275
0.476 0.457 0.798
0.982 0.452 0.793
0.452 0.982 0.774
0.407 0.833 0.129
0.824 0.260 0.433
0.376 0.376 0.624
0.280 0.832 0.892
0.619 0.121 0.416
0.975 0.430 0.272
0.615 0.615 0.385
0.121 0.619 0.843
0.430 0.975 0.323
0.260 0.825 0.482
0.254 0.358 0.418
0.832 0.280 0.996
0.340 0.421 0.824
0.426 0.835 0.910
0.913 0.830 0.832
0.825 0.418 0.420
0.421 0.340 0.415
0.835 0.426 0.829
0.830 0.913 0.425
0.418 0.825 0.337
0.088 0.164 0.133
0.117 0.636 0.162
0.164 0.088 0.614
0.636 0.117 0.086
```